# 1
Here is a relaxed Tl3AgAs crystal from Alexandria via LeMat-Bulk. Energies are from PBE-GGA.

```
data_Tl3AgAs
_chemical_formula_sum 'Tl3 Ag1 As1'
_cell_length_a 5.595
_cell_length_b 5.595
_cell_length_c 5.595
_cell_angle_alpha 90.00
_cell_angle_beta 90.00
_cell_angle_gamma 90.00
_symmetry_space_group_name_H-M 'P m -3 m'
_symmetry_Int_Tables_number 221
_symmetry_space_group_name_Hall '-P 4 2 3'
loop_
_atom_site_label
_atom_site_type_symbol
_atom_site_fract_x
_atom_site_fract_y
_atom_site_fract_z
_atom_site_occupancy
Tl1 Tl 0.000 0.000 0.500 1
Ag1 Ag 0.500 0.500 0.500 1
As1 As 0.000 0.000 0.000 1
```

Output
Offset from the most stable computed form ... 365 meV per atom

# 2
Here is a relaxed TlAg2As crystal from Alexandria via LeMat-Bulk. Energies are from PBE-GGA.

```
data_TlAg2As
_chemical_formula_sum 'Tl2 Ag4 As2'
_cell_length_a 4.314
_cell_length_b 4.314
_cell_length_c 8.981
_cell_angle_alpha 90.00
_cell_angle_beta 90.00
_cell_angle_gamma 90.00
_symmetry_space_group_name_H-M 'I -4 m 2'
_symmetry_Int_Tables_number 119
_symmetry_space_group_name_Hall 'I -4 -2'
loop_
_atom_site_label
_atom_site_type_symbol
_atom_site_fract_x
_atom_site_fract_y
_atom_site_fract_z
_atom_site_occupancy
Tl1 Tl 0.000 0.000 0.000 1
Ag1 Ag 0.000 0.000 0.500 1
Ag2 Ag 0.000 0.500 0.750 1
As1 As 0.000 0.500 0.250 1
```

# 3
Here is a relaxed Tl2ZnAgAs2 crystal from Alexandria via LeMat-Bulk. Energies are from PBE-GGA.

```
data_Tl2ZnAgAs2
_chemical_formula_sum 'Tl8 Zn4 Ag4 As8'
_cell_length_a 5.935
_cell_length_b 16.484
_cell_length_c 5.961
_cell_angle_alpha 90.00
_cell_angle_beta 90.00
_cell_angle_gamma 90.00
_symmetry_space_group_name_H-M 'I b a m'
_symmetry_Int_Tables_number 72
_symmetry_space_group_name_Hall '-I 2 2c'
loop_
_atom_site_label
_atom_site_type_symbol
_atom_site_fract_x
_atom_site_fract_y
_atom_site_fract_z
_atom_site_occupancy
Tl1 Tl 0.233 0.175 0.000 1
Zn1 Zn 0.000 0.500 0.250 1
Ag1 Ag 0.000 0.000 0.250 1
As1 As 0.227 0.399 0.000 1
```

Number 1: total energy -12.4 eV per formula unit. Number 2: total energy -11.9 eV per formula unit. Number 3: total energy -18.3 eV per formula unit.